ScBeInCo (GGA-PBE, relaxed); space group = F-43m (216); ΔE to the lowest computed polymorph = 112.6 meV/atom; size of the total moment = 0.00 μB/atom; calculated total energy = -4.960 eV per atom
1.0
0.0000 3.1189 3.1189
3.1189 0.0000 3.1189
3.1189 3.1189 0.0000
Co In Be Sc
1 1 1 1
direct
0.7500 0.7500 0.7500 Co
0.0000 0.0000 0.0000 In
0.5000 0.5000 0.5000 Be
0.2500 0.2500 0.2500 Sc